Run w
Below is crystalline TaCdOs2Pt at its relaxed geometry, with properties calculated at the PBE level.

DOS(E_F): 4.403 states/eV/f.u.
SG: No. 123

a b c (Å): 4.7777 4.9056 4.7777
angles (deg): 90.00 90.00 90.00
Closest atoms and distances in Å follow each position.
Sites, in units of the cell vectors:
Cd  0.5000  0.5000  0.5000  4 Pt 3.38, 8 Os 3.42
Os  0.0000  0.0000  0.5000  2 Ta 2.39
Os  0.5000  0.0000  0.0000  2 Ta 2.39
Pt  0.0000  0.5000  0.0000  2 Ta 2.45
Ta  0.0000  0.0000  0.0000  4 Os 2.39, 2 Pt 2.45

***

Run x
Below is crystalline TaCdOs2Pt at its relaxed geometry, with properties calculated at the PBE level.

DOS(E_F): 3.861 states/eV/f.u.
SG: No. 123

a b c (Å): 4.7512 4.6770 4.7512
angles (deg): 90.00 90.00 90.00
Closest atoms and distances in Å follow each position.
Sites, in units of the cell vectors:
Cd  0.0000  0.0000  0.0000  2 Pt 2.34, 4 Os 2.38
Os  0.0000  0.0000  0.5000  2 Cd 2.38
Os  0.5000  0.0000  0.0000  2 Cd 2.38
Pt  0.0000  0.5000  0.0000  2 Cd 2.34
Ta  0.5000  0.5000  0.5000  8 Os 3.33, 4 Pt 3.36

***

Verdict on stability: run x comes out at the bottom.

***

Run w
Below is crystalline Pu2CdOs at its relaxed geometry, with properties calculated at the PBE level.

DOS(E_F): 10.009 states/eV/f.u.
SG: No. 123

a b c (Å): 3.2289 3.2289 8.7250
angles (deg): 90.00 90.00 90.00
Closest atoms and distances in Å follow each position.
Sites, in units of the cell vectors:
Pu  0.0000  0.0000  0.7935  4 Os 2.91, 4 Pu 3.23
Pu  0.0000  0.0000  0.2065  4 Os 2.91, 4 Pu 3.23
Os  0.5000  0.5000  0.0000  8 Pu 2.91, 4 Os 3.23
Cd  0.5000  0.5000  0.5000  4 Cd 3.23, 8 Pu 3.43

***

Run x
Below is crystalline Pu2CdOs at its relaxed geometry, with properties calculated at the PBE level.

DOS(E_F): 10.607 states/eV/f.u.
SG: No. 166

a b c (Å): 2.9446 2.9446 11.5529
angles (deg): 82.68 82.68 60.00
Closest atoms and distances in Å follow each position.
Sites, in units of the cell vectors:
Cd  0.0000  0.0000  0.0000  6 Cd 2.94
Os  0.5000  0.5000  0.5000  6 Pu 2.94, 6 Os 2.94
Pu  0.0967  0.0967  0.7100  3 Os 2.94, 6 Pu 2.94
Pu  0.9033  0.9033  0.2900  3 Os 2.94, 6 Pu 2.94

***

Run y
Below is crystalline Pu2CdOs at its relaxed geometry, with properties calculated at the PBE level.

DOS(E_F): 10.914 states/eV/f.u.
SG: No. 123

a b c (Å): 4.0687 4.6296 4.6296
angles (deg): 90.00 90.00 90.00
Closest atoms and distances in Å follow each position.
Sites, in units of the cell vectors:
Pu  0.0000  0.0000  0.5000  4 Cd 3.08, 4 Os 3.08, 4 Pu 3.27
Pu  0.0000  0.5000  0.0000  4 Cd 3.08, 4 Os 3.08, 4 Pu 3.27
Os  0.5000  0.5000  0.5000  8 Pu 3.08, 4 Cd 3.27
Cd  0.5000  0.0000  0.0000  8 Pu 3.08, 4 Os 3.27

***

Verdict on stability: run x comes out at the bottom.

***

Run w
Below is crystalline TbPuCdOs at its relaxed geometry, with properties calculated at the PBE level.

DOS(E_F): 10.368 states/eV/f.u.
SG: No. 216

a b c (Å): 5.0309 5.0309 5.0309
angles (deg): 60.00 60.00 60.00
Closest atoms and distances in Å follow each position.
Sites, in units of the cell vectors:
Tb  0.0000  0.0000  0.0000  4 Os 3.08, 4 Cd 3.08
Cd  0.7500  0.7500  0.7500  4 Pu 3.08, 4 Tb 3.08
Os  0.2500  0.2500  0.2500  4 Tb 3.08, 4 Pu 3.08
Pu  0.5000  0.5000  0.5000  4 Cd 3.08, 4 Os 3.08

***

Run x
Below is crystalline TbPuCdOs at its relaxed geometry, with properties calculated at the PBE level.

DOS(E_F): 7.262 states/eV/f.u.
SG: No. 99

a b c (Å): 3.3069 3.3069 8.4940
angles (deg): 90.00 90.00 90.00
Closest atoms and distances in Å follow each position.
Sites, in units of the cell vectors:
Tb  0.5000  0.5000  0.7787  4 Os 2.94
Pu  0.5000  0.5000  0.3661  4 Os 2.90
Cd  0.0000  0.0000  0.0709  4 Cd 3.31, 4 Tb 3.41, 4 Pu 3.43
Os  0.0000  0.0000  0.5689  4 Pu 2.90, 4 Tb 2.94

***

Verdict on stability: run w comes out at the bottom.

***

Run w
Below is crystalline Rb2Cd2Os at its relaxed geometry, with properties calculated at the PBE level.

DOS(E_F): 5.650 states/eV/f.u.
SG: No. 139

a b c (Å): 4.0586 4.0586 11.6705
angles (deg): 79.99 79.99 90.00
Closest atoms and distances in Å follow each position.
Sites, in units of the cell vectors:
Os  0.0000  0.0000  0.0000  8 Rb 3.58
Rb  0.4053  0.4053  0.1894  4 Os 3.58
Rb  0.5947  0.5947  0.8106  4 Os 3.58
Cd  0.7500  0.2500  0.5000  4 Cd 2.87
Cd  0.2500  0.7500  0.5000  4 Cd 2.87

***

Run x
Below is crystalline Rb2Cd2Os at its relaxed geometry, with properties calculated at the PBE level.

DOS(E_F): 4.357 states/eV/f.u.
SG: No. 127

a b c (Å): 10.6378 10.6378 2.9333
angles (deg): 90.00 90.00 90.00
Closest atoms and distances in Å follow each position.
Sites, in units of the cell vectors:
Os  0.0000  0.0000  0.0000  2 Os 2.93
Os  0.5000  0.5000  0.0000  2 Os 2.93
Rb  0.3044  0.8044  0.0000  2 Rb 2.93
Rb  0.8044  0.6956  0.0000  2 Rb 2.93
Rb  0.6956  0.1956  0.0000  2 Rb 2.93
Rb  0.1956  0.3044  0.0000  2 Rb 2.93
Cd  0.0991  0.5991  0.5000  3 Cd 2.93-2.98
Cd  0.5991  0.9009  0.5000  3 Cd 2.93-2.98
Cd  0.9009  0.4009  0.5000  3 Cd 2.93-2.98
Cd  0.4009  0.0991  0.5000  3 Cd 2.93-2.98

***

Verdict on stability: run x comes out at the bottom.